(1)
An optimized crystal structure of Sr4Ce3NpN8. Source: Alexandria via LeMat-Bulk, functional PBE-GGA.

The space group is R-3m (No. 166, hexagonal axes) and the conventional cell measures 7.2590, 7.2590 and 17.9550 Å, with angles of 90.00, 90.00 and 120.00 degrees. The asymmetric unit holds Sr at (0.0000, 0.0000, 0.0000), Sr at (0.0000, 0.5000, 0.0000), Ce at (0.0000, 0.5000, 0.5000), Np at (0.0000, 0.0000, 0.5000), N at (0.0000, 0.0000, 0.2343) and N at (0.0188, 0.5094, 0.2338).

As for the raw total energy: -7.653 eV per atom. As for the raw formation energy: -1.149 eV per atom.

=====

(2)
An optimized crystal structure of LiCaCuSi2. Source: Alexandria via LeMat-Bulk, functional PBE-GGA.

The space group is I-4m2 (No. 119) and the conventional cell measures 4.097, 4.097 and 10.236 Å, with angles of 90.00, 90.00 and 90.00 degrees. The asymmetric unit holds Li at (0.000, 0.000, 0.000), Ca at (0.000, 0.500, 0.750), Cu at (0.000, 0.000, 0.500) and Si at (0.000, 0.500, 0.136).

As for the raw total energy: -4.125 eV per atom. As for the raw formation energy: -0.354 eV per atom.

=====

(3)
An optimized crystal structure of SiAgBr4. Source: Alexandria via LeMat-Bulk, functional PBE-GGA.

The space group is I-4 (No. 82) and the conventional cell measures 6.313, 6.313 and 11.352 Å, with angles of 90.00, 90.00 and 90.00 degrees. The asymmetric unit holds Si at (0.000, 0.000, 0.000), Ag at (0.000, 0.500, 0.750) and Br at (0.217, 0.229, 0.120).

As for the raw total energy: -2.856 eV per atom. As for the raw formation energy: -0.361 eV per atom. For the energy above the most stable polymorph in this dataset, the calculation gives 0.000 eV/atom.

=====

(4)
An optimized crystal structure of SiAg2Cl. Source: Alexandria via LeMat-Bulk, functional PBE-GGA.

The space group is Pmmm (No. 47) and the conventional cell measures 3.096, 3.197 and 7.449 Å, with angles of 90.00, 90.00 and 90.00 degrees. The asymmetric unit holds Si at (0.000, 0.000, 0.000), Ag at (0.500, 0.500, 0.229) and Cl at (0.000, 0.000, 0.500).

As for the raw total energy: -3.111 eV per atom. As for the raw formation energy: 0.132 eV per atom. For the energy above the most stable polymorph in this dataset, the calculation gives 0.113 eV/atom.

=====

(5)
An optimized crystal structure of Ac8La3Pm2. Source: Alexandria via LeMat-Bulk, functional PBE-GGA.

The space group is C2/m (No. 12) and the conventional cell measures 21.562, 8.357 and 6.213 Å, with angles of 90.00, 90.02 and 90.00 degrees. The asymmetric unit holds Ac at (0.107, 0.212, 0.000), Ac at (0.134, 0.500, 0.500), Ac at (0.176, 0.000, 0.501), La at (0.000, 0.204, 0.500), La at (0.000, 0.500, 0.000) and Pm at (0.242, 0.500, 0.999).

The calculation puts the formation energy at 0.20 eV/atom. As for the raw total energy: -4.196 eV per atom. For the energy above the most stable polymorph in this dataset, the calculation gives 0.075 eV/atom.

=====

(6)
An optimized crystal structure of Tm4HgSbSe2. Source: Alexandria via LeMat-Bulk, functional PBE-GGA.

The space group is P2/m (No. 10) and the conventional cell measures 7.029, 4.068 and 7.506 Å, with angles of 90.00, 108.12 and 90.00 degrees. The asymmetric unit holds Tm at (0.243, 0.000, 0.238), Tm at (0.249, 0.500, 0.763), Hg at (0.000, 0.000, 0.500), Sb at (0.500, 0.500, 0.500), Se at (0.000, 0.500, 0.000) and Se at (0.500, 0.000, 0.000).

As for the raw total energy: -4.838 eV per atom. As for the raw formation energy: -1.178 eV per atom.

=====

(7)
An optimized crystal structure of AcLa2Be. Source: Alexandria via LeMat-Bulk, functional PBE-GGA.

The space group is R-3m (No. 166, hexagonal axes) and the conventional cell measures 3.7075, 3.7075 and 36.1564 Å, with angles of 90.00, 90.00 and 120.00 degrees. The asymmetric unit holds Ac at (0.0000, 0.0000, 0.0000), La at (0.0000, 0.0000, 0.4174) and Be at (0.0000, 0.0000, 0.5000).

The calculation puts the formation energy at 0.74 eV/atom. As for the raw total energy: -3.682 eV per atom. For the energy above the most stable polymorph in this dataset, the calculation gives 0.620 eV/atom.

=====

(8)
An optimized crystal structure of BeAs3Ru. Source: Alexandria via LeMat-Bulk, functional PBE-GGA.

The space group is Pm-3m (No. 221) and the conventional cell measures 4.373, 4.373 and 4.373 Å, with angles of 90.00, 90.00 and 90.00 degrees. The asymmetric unit holds Be at (0.000, 0.000, 0.000), As at (0.000, 0.000, 0.500) and Ru at (0.500, 0.500, 0.500).

The calculation puts the formation energy at 0.80 eV/atom. As for the raw total energy: -4.594 eV per atom. For the energy above the most stable polymorph in this dataset, the calculation gives 0.000 eV/atom.

=====

(9)
An optimized crystal structure of OsPb. Source: Alexandria via LeMat-Bulk, functional PBE-GGA.

The space group is Fddd (No. 70, origin choice 2) and the conventional cell measures 6.082, 8.503 and 13.817 Å, with angles of 90.00, 90.00 and 90.00 degrees. The asymmetric unit holds Os at (0.125, 0.125, 0.038) and Pb at (0.125, 0.304, 0.625).

The calculation puts the formation energy at 0.93 eV/atom. As for the raw total energy: -6.540 eV per atom.

=====

(10)
An optimized crystal structure of Sm4Y9Mg11. Source: Alexandria via LeMat-Bulk, functional PBE-GGA.

The space group is Cmmm (No. 65) and the conventional cell measures 16.446, 22.773 and 3.634 Å, with angles of 90.00, 90.00 and 90.00 degrees. The asymmetric unit holds Sm at (0.165, 0.084, 0.000), Y at (0.000, 0.000, 0.000), Y at (0.112, 0.404, 0.000), Y at (0.114, 0.234, 0.000), Mg at (0.000, 0.135, 0.500), Mg at (0.000, 0.319, 0.500), Mg at (0.000, 0.500, 0.500), Mg at (0.210, 0.500, 0.500) and Mg at (0.232, 0.321, 0.500).

The calculation puts the formation energy at -0.05 eV/atom. As for the raw total energy: -3.991 eV per atom.

=====

(11)
An optimized crystal structure of CoRe3. Source: Alexandria via LeMat-Bulk, functional PBE-GGA.

The space group is Pm-3m (No. 221) and the conventional cell measures 4.415, 4.415 and 4.415 Å, with angles of 90.00, 90.00 and 90.00 degrees. The asymmetric unit holds Co at (0.000, 0.000, 0.000) and Re at (0.000, 0.000, 0.500).

The calculation puts the formation energy at 2.69 eV/atom. As for the raw total energy: -8.420 eV per atom.

=====

(12)
An optimized crystal structure of LaZn2Ru. Source: Alexandria via LeMat-Bulk, functional PBE-GGA.

The space group is P4/mmm (No. 123) and the conventional cell measures 3.956, 3.956 and 4.963 Å, with angles of 90.00, 90.00 and 90.00 degrees. The asymmetric unit holds La at (0.000, 0.000, 0.000), Zn at (0.000, 0.500, 0.500) and Ru at (0.500, 0.500, 0.000).

The calculation puts the formation energy at 0.00 eV/atom. As for the raw total energy: -4.188 eV per atom.

=====

(13)
An optimized crystal structure of Cd3Ag2Cl8. Source: Alexandria via LeMat-Bulk, functional PBE-GGA.

The space group is C2/m (No. 12) and the conventional cell measures 13.259, 7.967 and 6.950 Å, with angles of 90.00, 111.78 and 90.00 degrees. The asymmetric unit holds Cd at (0.000, 0.000, 0.000), Cd at (0.000, 0.251, 0.500), Ag at (0.129, 0.500, 0.083), Cl at (0.117, 0.229, 0.264), Cl at (0.119, 0.000, 0.750) and Cl at (0.125, 0.500, 0.716).

As for the raw total energy: -2.672 eV per atom. As for the raw formation energy: -0.885 eV per atom.

=====

(14)
An optimized crystal structure of AgSnH. Source: Alexandria via LeMat-Bulk, functional PBE-GGA.

The space group is I4mm (No. 107) and the conventional cell measures 4.055, 4.055 and 6.660 Å, with angles of 90.00, 90.00 and 90.00 degrees. The asymmetric unit holds Ag at (0.000, 0.000, 0.000), Sn at (0.000, 0.000, 0.563) and H at (0.000, 0.000, 0.273).

As for the raw total energy: -3.069 eV per atom. For the energy above the most stable polymorph in this dataset, the calculation gives 0.117 eV/atom.

=====

(15)
An optimized crystal structure of PRuRhC2. Source: Alexandria via LeMat-Bulk, functional PBE-GGA.

The space group is P4/mmm (No. 123) and the conventional cell measures 3.665, 3.665 and 4.607 Å, with angles of 90.00, 90.00 and 90.00 degrees. The asymmetric unit holds P at (0.000, 0.000, 0.000), Ru at (0.500, 0.500, 0.500), Rh at (0.000, 0.000, 0.500) and C at (0.000, 0.500, 0.000).

The calculation puts the formation energy at 1.89 eV/atom. As for the raw total energy: -6.203 eV per atom.

=====

(16)
An optimized crystal structure of Sn2SbP. Source: Alexandria via LeMat-Bulk, functional PBE-GGA.

The space group is R3m (No. 160, hexagonal axes) and the conventional cell measures 3.9969, 3.9969 and 22.2828 Å, with angles of 90.00, 90.00 and 120.00 degrees. The asymmetric unit holds Sn at (0.0000, 0.0000, 0.0000), Sn at (0.0000, 0.0000, 0.1885), Sb at (0.0000, 0.0000, 0.7629) and P at (0.0000, 0.0000, 0.5926).

As for the raw total energy: -4.312 eV per atom. As for the raw formation energy: 0.072 eV per atom. For the energy above the most stable polymorph in this dataset, the calculation gives 0.000 eV/atom.

=====

(17)
An optimized crystal structure of BeAlPb2. Source: Alexandria via LeMat-Bulk, functional PBE-GGA.

The space group is Immm (No. 71) and the conventional cell measures 4.181, 5.427 and 8.227 Å, with angles of 90.00, 90.00 and 90.00 degrees. The asymmetric unit holds Be at (0.000, 0.000, 0.000), Al at (0.000, 0.000, 0.500) and Pb at (0.000, 0.500, 0.281).

The calculation puts the formation energy at 0.55 eV/atom. As for the raw total energy: -3.175 eV per atom. For the energy above the most stable polymorph in this dataset, the calculation gives 0.233 eV/atom.

=====

(18)
An optimized crystal structure of SrCuRu2. Source: Alexandria via LeMat-Bulk, functional PBE-GGA.

The space group is P4mm (No. 99) and the conventional cell measures 3.168, 3.168 and 7.298 Å, with angles of 90.00, 90.00 and 90.00 degrees. The asymmetric unit holds Sr at (0.000, 0.000, 0.000), Cu at (0.500, 0.500, 0.311), Ru at (0.000, 0.000, 0.500) and Ru at (0.500, 0.500, 0.679).

The calculation puts the formation energy at 0.39 eV/atom. As for the raw total energy: -5.692 eV per atom. For the energy above the most stable polymorph in this dataset, the calculation gives 0.234 eV/atom.

=====

(19)
An optimized crystal structure of As3RuO. Source: Alexandria via LeMat-Bulk, functional PBE-GGA.

The space group is Pm-3m (No. 221) and the conventional cell measures 4.723, 4.723 and 4.723 Å, with angles of 90.00, 90.00 and 90.00 degrees. The asymmetric unit holds As at (0.000, 0.000, 0.500), Ru at (0.000, 0.000, 0.000) and O at (0.500, 0.500, 0.500).

As for the raw total energy: -4.816 eV per atom. As for the raw formation energy: 0.820 eV per atom. For the energy above the most stable polymorph in this dataset, the calculation gives 0.449 eV/atom.

=====

(20)
An optimized crystal structure of Ba2Tl2TcO6. Source: Alexandria via LeMat-Bulk, functional PBE-GGA.

The space group is C2/m (No. 12) and the conventional cell measures 6.561, 11.047 and 6.396 Å, with angles of 90.00, 104.48 and 90.00 degrees. The asymmetric unit holds Ba at (0.000, 0.163, 0.000), Tl at (0.000, 0.348, 0.500), Tc at (0.000, 0.500, 0.000), O at (0.173, 0.374, 0.165) and O at (0.187, 0.500, 0.787).

As for the raw total energy: -6.057 eV per atom. As for the raw formation energy: -1.630 eV per atom.

=====

(21)
An optimized crystal structure of Pr2SmDyS4. Source: Alexandria via LeMat-Bulk, functional PBE-GGA.

The space group is P2/m (No. 10) and the conventional cell measures 6.960, 3.980 and 7.075 Å, with angles of 90.00, 108.83 and 90.00 degrees. The asymmetric unit holds Pr at (0.000, 0.000, 0.000), Pr at (0.500, 0.500, 0.000), Sm at (0.000, 0.500, 0.500), Dy at (0.500, 0.000, 0.500), S at (0.250, 0.000, 0.737) and S at (0.260, 0.500, 0.266).

As for the raw total energy: -6.439 eV per atom. As for the raw formation energy: -2.015 eV per atom.

=====

(22)
An optimized crystal structure of La5Pm2YHo. Source: Alexandria via LeMat-Bulk, functional PBE-GGA.

The space group is I4/mcm (No. 140) and the conventional cell measures 8.714, 8.714 and 17.035 Å, with angles of 90.00, 90.00 and 90.00 degrees. The asymmetric unit holds La at (0.000, 0.000, 0.000), La at (0.219, 0.281, 0.143), Pm at (0.122, 0.378, 0.500), Y at (0.000, 0.500, 0.250) and Ho at (0.000, 0.000, 0.250).

The calculation puts the formation energy at 0.27 eV/atom. As for the raw total energy: -4.748 eV per atom.

=====

(23)
An optimized crystal structure of GaP2CS. Source: Alexandria via LeMat-Bulk, functional PBE-GGA.

The space group is P4/mmm (No. 123) and the conventional cell measures 4.690, 4.690 and 4.620 Å, with angles of 90.00, 90.00 and 90.00 degrees. The asymmetric unit holds Ga at (0.000, 0.000, 0.000), P at (0.000, 0.500, 0.000), C at (0.500, 0.500, 0.500) and S at (0.000, 0.000, 0.500).

As for the raw total energy: -3.316 eV per atom. As for the raw formation energy: 2.124 eV per atom. For the energy above the most stable polymorph in this dataset, the calculation gives 1.062 eV/atom.